[1]
First-principles (PBEsol) data for SrRuS2 after structural relaxation, as listed in the Alexandria database.

## Properties
Raw formation energy in meV/atom: -398
Space group: R-3m (166)

a b c (Å): 3.7353 3.7353 7.9648
angles (deg): 76.44 76.44 60.00
Last column: magnetic moment on the atom in μB.
Element x y z (fractional)
S 0.8782 0.8782 0.3655  0.00
S 0.1218 0.1218 0.6345  0.00
Sr 0.0000 0.0000 0.0000  0.08
Ru 0.5000 0.5000 0.5000  -0.03

[2]
First-principles (PBEsol) data for TeRuS3 after structural relaxation, as listed in the Alexandria database.

## Properties
Raw formation energy in meV/atom: 1353
Space group: Pm-3m (221)

a b c (Å): 4.9205 4.9205 4.9205
angles (deg): 90.00 90.00 90.00
Last column: magnetic moment on the atom in μB.
Element x y z (fractional)
S 0.0000 0.0000 0.5000  0.16
S 0.0000 0.5000 0.0000  0.16
S 0.5000 0.0000 0.0000  0.16
Ru 0.5000 0.5000 0.5000  2.98
Te 0.0000 0.0000 0.0000  0.01

[3]
First-principles (PBEsol) data for TiRu3S after structural relaxation, as listed in the Alexandria database.

## Properties
Raw formation energy in meV/atom: 1636
Space group: Pm-3m (221)

a b c (Å): 4.4393 4.4393 4.4393
angles (deg): 90.00 90.00 90.00
Element x y z (fractional)
Ru 0.0000 0.0000 0.5000
Ru 0.5000 0.0000 0.0000
Ru 0.0000 0.5000 0.0000
S 0.5000 0.5000 0.5000
Ti 0.0000 0.0000 0.0000

[4]
First-principles (PBEsol) data for TlRu2S2 after structural relaxation, as listed in the Alexandria database.

## Properties
Raw formation energy in meV/atom: 144
Space group: I4/mmm (139)

a b c (Å): 4.1485 4.1485 5.7650
angles (deg): 111.09 111.09 90.00
Element x y z (fractional)
Ru 0.6455 0.6455 0.2910
Ru 0.3545 0.3545 0.7090
S 0.7500 0.2500 0.5000
S 0.2500 0.7500 0.5000
Tl 0.0000 0.0000 0.0000

[5]
First-principles (PBEsol) data for TlZnRu2S after structural relaxation, as listed in the Alexandria database.

## Properties
Raw formation energy in meV/atom: 1605
Space group: P4/mmm (123)

a b c (Å): 4.6234 4.6234 4.7899
angles (deg): 90.00 90.00 90.00
Last column: magnetic moment on the atom in μB.
Element x y z (fractional)
S 0.5000 0.5000 0.5000  0.15
Ru 0.0000 0.5000 0.0000  1.70
Ru 0.5000 0.0000 0.0000  1.70
Zn 0.0000 0.0000 0.0000  -0.01
Tl 0.0000 0.0000 0.5000  0.04

[6]
First-principles (PBEsol) data for RuWS3 after structural relaxation, as listed in the Alexandria database.

## Properties
Raw formation energy in meV/atom: 838
Space group: Pm-3m (221)

a b c (Å): 4.5983 4.5983 4.5983
angles (deg): 90.00 90.00 90.00
Last column: magnetic moment on the atom in μB.
Element x y z (fractional)
S 0.0000 0.5000 0.0000  0.10
S 0.0000 0.0000 0.5000  0.10
S 0.5000 0.0000 0.0000  0.10
Ru 0.5000 0.5000 0.5000  2.60
W 0.0000 0.0000 0.0000  -0.06

[7]
First-principles (PBEsol) data for YRuS2 after structural relaxation, as listed in the Alexandria database.

## Properties
Raw formation energy in meV/atom: -797
Space group: Fm-3m (225)

a b c (Å): 4.4855 4.4855 4.4855
angles (deg): 60.00 60.00 60.00
Element x y z (fractional)
Y 0.0000 0.0000 0.0000
S 0.7500 0.7500 0.7500
S 0.2500 0.2500 0.2500
Ru 0.5000 0.5000 0.5000

[8]
First-principles (PBEsol) data for Y3RuS after structural relaxation, as listed in the Alexandria database.

## Properties
Raw formation energy in meV/atom: -164
Space group: Pm-3m (221)

a b c (Å): 5.2031 5.2031 5.2031
angles (deg): 90.00 90.00 90.00
Element x y z (fractional)
Y 0.0000 0.0000 0.5000
Y 0.0000 0.5000 0.0000
Y 0.5000 0.0000 0.0000
Ru 0.0000 0.0000 0.0000
S 0.5000 0.5000 0.5000

[9]
First-principles (PBEsol) data for Y2RuS after structural relaxation, as listed in the Alexandria database.

## Properties
Raw formation energy in meV/atom: -684
Space group: Fm-3m (225)

a b c (Å): 4.7867 4.7867 4.7867
angles (deg): 60.00 60.00 60.00
Element x y z (fractional)
Y 0.2500 0.2500 0.2500
Y 0.7500 0.7500 0.7500
S 0.0000 0.0000 0.0000
Ru 0.5000 0.5000 0.5000

[10]
First-principles (PBEsol) data for Zr3RuS after structural relaxation, as listed in the Alexandria database.

## Properties
Raw formation energy in meV/atom: 299
Space group: Pm-3m (221)

a b c (Å): 4.9181 4.9181 4.9181
angles (deg): 90.00 90.00 90.00
Element x y z (fractional)
Zr 0.0000 0.5000 0.0000
Zr 0.0000 0.0000 0.5000
Zr 0.5000 0.0000 0.0000
S 0.5000 0.5000 0.5000
Ru 0.0000 0.0000 0.0000

[11]
First-principles (PBEsol) data for Sb3Ru after structural relaxation, as listed in the Alexandria database.

## Properties
Raw formation energy in meV/atom: 490
Space group: Cmmm (65)

a b c (Å): 3.4729 5.0176 5.0176
angles (deg): 103.02 90.00 90.00
Element x y z (fractional)
Sb 0.5000 0.0000 0.5000
Sb 0.0000 0.5000 0.5000
Sb 0.5000 0.5000 0.0000
Ru 0.0000 0.0000 0.0000

[12]
First-principles (PBEsol) data for SbRu3 after structural relaxation, as listed in the Alexandria database.

## Properties
Raw formation energy in meV/atom: 208
Space group: Imm2 (44)

a b c (Å): 2.8786 4.6276 5.2560
angles (deg): 116.12 105.89 90.00
Element x y z (fractional)
Ru 0.7670 0.7583 0.5341
Ru 0.2330 0.2242 0.4659
Ru 0.5000 0.1914 0.0000
Sb 0.0000 0.6594 0.0000

[13]
First-principles (PBEsol) data for SbRu after structural relaxation, as listed in the Alexandria database.

## Properties
Raw formation energy in meV/atom: 263
Space group: P4/nmm (129)

a b c (Å): 3.7887 3.7887 6.2388
angles (deg): 90.00 90.00 90.00
Element x y z (fractional)
Sb 0.5000 0.0000 0.2939
Sb 0.0000 0.5000 0.7061
Ru 0.0000 0.0000 0.0000
Ru 0.5000 0.5000 0.0000

[14]
First-principles (PBEsol) data for SbRu after structural relaxation, as listed in the Alexandria database.

## Properties
Raw formation energy in meV/atom: -127
Space group: Pnma (62)

a b c (Å): 3.8347 5.8248 6.4805
angles (deg): 90.00 90.00 90.00
Element x y z (fractional)
Ru 0.7500 0.4925 0.7036
Ru 0.2500 0.0075 0.2036
Ru 0.7500 0.9925 0.7964
Ru 0.2500 0.5075 0.2964
Sb 0.7500 0.3025 0.0863
Sb 0.2500 0.1975 0.5863
Sb 0.2500 0.6975 0.9137
Sb 0.7500 0.8025 0.4137

[15]
First-principles (PBEsol) data for SbRu after structural relaxation, as listed in the Alexandria database.

## Properties
Raw formation energy in meV/atom: 194
Space group: Cm (8)

a b c (Å): 3.0671 5.8231 6.3502
angles (deg): 89.52 103.97 90.00
Element x y z (fractional)
Sb 0.9801 0.9976 0.9602
Sb 0.0410 0.4836 0.0821
Sb 0.7104 0.9605 0.4208
Ru 0.7207 0.5073 0.4414
Ru 0.3323 0.2123 0.6647
Ru 0.3821 0.6720 0.7642

[16]
First-principles (PBEsol) data for Sb2Ru after structural relaxation, as listed in the Alexandria database.

## Properties
Raw formation energy in meV/atom: -263
Space group: Pnnm (58)

a b c (Å): 3.1738 5.9545 6.6594
angles (deg): 90.00 90.00 90.00
Element x y z (fractional)
Sb 0.0000 0.1824 0.3570
Sb 0.5000 0.6824 0.1430
Sb 0.0000 0.8176 0.6430
Sb 0.5000 0.3176 0.8570
Ru 0.0000 0.0000 0.0000
Ru 0.5000 0.5000 0.5000

[17]
First-principles (PBEsol) data for Sb2Ru after structural relaxation, as listed in the Alexandria database.

## Properties
Raw formation energy in meV/atom: 46
Space group: P-3m1 (164)

a b c (Å): 3.5278 3.5278 5.8788
angles (deg): 90.00 90.00 120.00
Element x y z (fractional)
Sb 0.6667 0.3333 0.7123
Sb 0.3333 0.6667 0.2877
Ru 0.0000 0.0000 0.0000

[18]
First-principles (PBEsol) data for SbRu3 after structural relaxation, as listed in the Alexandria database.

## Properties
Raw formation energy in meV/atom: 570
Space group: R-3m (166)

a b c (Å): 2.8839 5.0413 5.0413
angles (deg): 116.45 100.99 100.99
Last column: magnetic moment on the atom in μB.
Element x y z (fractional)
Ru 0.0000 0.0000 0.5000  0.16
Ru 0.0000 0.5000 0.0000  0.16
Ru 0.5000 0.5000 0.5000  0.16
Sb 0.5000 0.0000 0.0000  0.00

[19]
First-principles (PBEsol) data for Sb2Ru after structural relaxation, as listed in the Alexandria database.

## Properties
Raw formation energy in meV/atom: -96
Space group: C2/m (12)

a b c (Å): 3.3333 6.4765 6.9748
angles (deg): 117.88 103.82 90.00
Element x y z (fractional)
Sb 0.9133 0.2257 0.8266
Sb 0.6393 0.3253 0.2787
Sb 0.3607 0.6747 0.7213
Sb 0.0867 0.7743 0.1734
Ru 0.2571 0.2022 0.5141
Ru 0.7429 0.7978 0.4859

[20]
First-principles (PBEsol) data for ScSb4Ru after structural relaxation, as listed in the Alexandria database.

## Properties
Raw formation energy in meV/atom: 696
Space group: F-43m (216)

a b c (Å): 5.9356 5.9356 5.9356
angles (deg): 60.00 60.00 60.00
Last column: magnetic moment on the atom in μB.
Element x y z (fractional)
Sb 0.3746 0.3746 0.3746  0.00
Sb 0.3746 0.8762 0.3746  0.00
Sb 0.8762 0.3746 0.3746  0.00
Sb 0.3746 0.3746 0.8762  0.00
Ru 0.0000 0.0000 0.0000  1.34
Sc 0.7500 0.7500 0.7500  -0.13

[21]
First-principles (PBEsol) data for Sc3SbRu after structural relaxation, as listed in the Alexandria database.

## Properties
Raw formation energy in meV/atom: -278
Space group: Pm-3m (221)

a b c (Å): 4.8850 4.8850 4.8850
angles (deg): 90.00 90.00 90.00
Element x y z (fractional)
Ru 0.0000 0.0000 0.0000
Sb 0.5000 0.5000 0.5000
Sc 0.0000 0.5000 0.0000
Sc 0.5000 0.0000 0.0000
Sc 0.0000 0.0000 0.5000

[22]
First-principles (PBEsol) data for ScSb2Ru after structural relaxation, as listed in the Alexandria database.

## Properties
Raw formation energy in meV/atom: -158
Space group: Immm (71)

a b c (Å): 3.1923 5.3917 5.6608
angles (deg): 118.44 106.38 90.00
Element x y z (fractional)
Ru 0.5000 0.0000 0.0000
Sb 0.7790 0.7790 0.5581
Sb 0.2210 0.2210 0.4419
Sc 0.0000 0.5000 0.0000

[23]
First-principles (PBEsol) data for ScSb2Ru after structural relaxation, as listed in the Alexandria database.

## Properties
Raw formation energy in meV/atom: -297
Space group: Cmmm (65)

a b c (Å): 3.2412 3.2412 7.2837
angles (deg): 90.00 90.00 93.64
Element x y z (fractional)
Sb 0.0000 0.0000 0.2243
Sb 0.0000 0.0000 0.7757
Sc 0.5000 0.5000 0.5000
Ru 0.5000 0.5000 0.0000

[24]
First-principles (PBEsol) data for ScSb3Ru after structural relaxation, as listed in the Alexandria database.

## Properties
Raw formation energy in meV/atom: 357
Space group: Pm-3m (221)

a b c (Å): 5.0756 5.0756 5.0756
angles (deg): 90.00 90.00 90.00
Last column: magnetic moment on the atom in μB.
Element x y z (fractional)
Sb 0.5000 0.0000 0.0000  0.01
Sb 0.0000 0.5000 0.0000  0.01
Sb 0.0000 0.0000 0.5000  0.01
Sc 0.5000 0.5000 0.5000  0.09
Ru 0.0000 0.0000 0.0000  0.06

[25]
First-principles (PBEsol) data for ScSb2TeRu after structural relaxation, as listed in the Alexandria database.

## Properties
Raw formation energy in meV/atom: 280
Space group: P4/mmm (123)

a b c (Å): 4.9246 4.9246 5.5431
angles (deg): 90.00 90.00 90.00
Element x y z (fractional)
Sb 0.0000 0.5000 0.0000
Sb 0.5000 0.0000 0.0000
Sc 0.5000 0.5000 0.5000
Te 0.0000 0.0000 0.5000
Ru 0.0000 0.0000 0.0000

[26]
First-principles (PBEsol) data for SbRu2Se after structural relaxation, as listed in the Alexandria database.

## Properties
Raw formation energy in meV/atom: 508
Space group: Pmmm (47)

a b c (Å): 3.0070 4.2406 5.2036
angles (deg): 90.00 90.00 90.00
Element x y z (fractional)
Ru 0.5000 0.0000 0.5000
Ru 0.0000 0.0000 0.0000
Se 0.0000 0.5000 0.5000
Sb 0.5000 0.5000 0.0000

[27]
First-principles (PBEsol) data for SbRuSe3 after structural relaxation, as listed in the Alexandria database.

## Properties
Raw formation energy in meV/atom: 1311
Space group: Pm-3m (221)

a b c (Å): 5.1723 5.1723 5.1723
angles (deg): 90.00 90.00 90.00
Last column: magnetic moment on the atom in μB.
Element x y z (fractional)
Se 0.0000 0.5000 0.0000  0.14
Se 0.0000 0.0000 0.5000  0.14
Se 0.5000 0.0000 0.0000  0.14
Ru 0.5000 0.5000 0.5000  2.91
Sb 0.0000 0.0000 0.0000  0.00

[28]
First-principles (PBEsol) data for SbRu2Se after structural relaxation, as listed in the Alexandria database.

## Properties
Raw formation energy in meV/atom: 695
Space group: F-43m (216)

a b c (Å): 4.5422 4.5422 4.5422
angles (deg): 60.00 60.00 60.00
Element x y z (fractional)
Ru 0.0000 0.0000 0.0000
Ru 0.7500 0.7500 0.7500
Sb 0.5000 0.5000 0.5000
Se 0.2500 0.2500 0.2500

[29]
First-principles (PBEsol) data for SbRu3Se after structural relaxation, as listed in the Alexandria database.

## Properties
Raw formation energy in meV/atom: 1864
Space group: Pm-3m (221)

a b c (Å): 4.7978 4.7978 4.7978
angles (deg): 90.00 90.00 90.00
Last column: magnetic moment on the atom in μB.
Element x y z (fractional)
Se 0.5000 0.5000 0.5000  0.09
Ru 0.0000 0.0000 0.5000  1.40
Ru 0.5000 0.0000 0.0000  1.40
Ru 0.0000 0.5000 0.0000  1.40
Sb 0.0000 0.0000 0.0000  -0.07

no.,E_tot (eV per atom)
1,-5.59
2,-4.02
3,-7.01
4,-6.20
5,-4.18
6,-6.59
7,-7.24
8,-7.17
9,-7.73
10,-8.07
11,-5.47
12,-8.56
13,-7.10
14,-7.49
15,-7.17
16,-6.69
17,-6.38
18,-8.20
19,-6.52
20,-5.14
21,-7.19
22,-6.63
23,-6.77
24,-5.73
25,-5.60
26,-6.68
27,-3.94
28,-6.49
29,-5.92